1.
{"formula": "Sc2Ni2Sn", "functional": "GGA-PBE", "state": "optimized geometry", "cell": [[7.112, 0.000, 0.000], [0.000, 7.112, 0.000], [0.000, 0.000, 3.401]], "species": ["Sc", "Sc", "Sc", "Sc", "Ni", "Ni", "Ni", "Ni", "Sn", "Sn"], "frac_coords": [[0.830, 0.330, 0.500], [0.170, 0.670, 0.500], [0.330, 0.170, 0.500], [0.670, 0.830, 0.500], [0.124, 0.376, 0.000], [0.876, 0.624, 0.000], [0.624, 0.124, 0.000], [0.376, 0.876, 0.000], [0.500, 0.500, 0.000], [0.000, 0.000, 0.000]], "formation_enthalpy_0k_ev_per_atom": -0.610, "crystal_system": "tetragonal"}

=====

2.
{"formula": "SrCoW", "functional": "GGA-PBE", "state": "optimized geometry", "cell": [[-4.207, 0.757, 0.462], [-0.599, -0.778, -4.186], [-1.190, -7.579, 1.580]], "species": ["Co", "Co", "W", "W", "Sr", "Sr"], "frac_coords": [[0.000, 0.500, 0.363], [0.500, 0.000, 0.637], [0.000, 0.000, 0.500], [0.500, 0.500, 0.500], [0.500, 0.000, 0.171], [0.000, 0.500, 0.829]], "formation_enthalpy_0k_ev_per_atom": 0.293, "de_polymorph_mev_per_atom": 0.0, "crystal_system": "tetragonal"}

=====

3.
{"formula": "CsSc6S8", "functional": "GGA-PBE", "state": "optimized geometry", "cell": [[-1.347, -5.171, 4.966], [-4.444, -3.256, -4.781], [5.707, -3.759, -2.552]], "species": ["Cs", "S", "S", "S", "S", "S", "S", "S", "S", "Sc", "Sc", "Sc", "Sc", "Sc", "Sc"], "frac_coords": [[0.000, 0.000, 0.000], [0.860, 0.297, 0.591], [0.703, 0.409, 0.140], [0.140, 0.703, 0.409], [0.735, 0.735, 0.735], [0.409, 0.140, 0.703], [0.265, 0.265, 0.265], [0.591, 0.860, 0.297], [0.297, 0.591, 0.860], [0.574, 0.197, 0.391], [0.609, 0.426, 0.803], [0.197, 0.391, 0.574], [0.426, 0.803, 0.609], [0.803, 0.609, 0.426], [0.391, 0.574, 0.197]], "formation_energy_uncorrected_mev_per_atom": -1765, "de_polymorph_mev_per_atom": 84.3, "crystal_system": "trigonal"}

=====

4.
{"formula": "FeP2Se", "functional": "GGA-PBE", "state": "optimized geometry", "cell": [[5.447, 0.000, 0.000], [0.000, 5.447, 0.000], [2.723, 2.723, 5.109]], "species": ["Se", "Se", "P", "P", "P", "P", "Fe", "Fe"], "frac_coords": [[0.000, 0.000, 0.000], [0.750, 0.250, 0.500], [0.194, 0.625, 0.250], [0.556, 0.125, 0.250], [0.375, 0.444, 0.750], [0.875, 0.806, 0.750], [0.250, 0.750, 0.500], [0.500, 0.500, 0.000]], "formation_energy_uncorrected_mev_per_atom": 128, "crystal_system": "tetragonal"}

=====

5.
{"formula": "ScPaBe17", "functional": "GGA-PBE", "state": "optimized geometry", "cell": [[-1.281, -3.092, -4.711], [2.100, -5.051, 1.864], [-4.993, -2.191, 1.915]], "species": ["Be", "Be", "Be", "Be", "Be", "Be", "Be", "Be", "Be", "Be", "Be", "Be", "Be", "Be", "Be", "Be", "Be", "Pa", "Sc"], "frac_coords": [[0.341, 0.842, 0.341], [0.282, 0.998, 0.719], [0.998, 0.282, 0.719], [0.000, 0.000, 0.499], [0.154, 0.662, 0.662], [0.903, 0.903, 0.903], [0.000, 0.499, 0.000], [0.095, 0.095, 0.095], [0.842, 0.341, 0.341], [0.662, 0.662, 0.154], [0.719, 0.282, 0.998], [0.282, 0.719, 0.998], [0.341, 0.341, 0.842], [0.499, 0.000, 0.000], [0.998, 0.719, 0.282], [0.662, 0.154, 0.662], [0.719, 0.998, 0.282], [0.341, 0.341, 0.341], [0.662, 0.662, 0.662]], "formation_enthalpy_0k_ev_per_atom": -0.121, "crystal_system": "trigonal"}

=====

6.
{"formula": "TmAlCo", "functional": "GGA-PBE", "state": "optimized geometry", "cell": [[-3.017, -0.592, -0.396], [0.545, -3.028, 0.377], [0.442, 2.324, 5.289]], "species": ["Co", "Tm", "Al"], "frac_coords": [[0.686, 0.686, 0.371], [0.016, 0.016, 0.032], [0.298, 0.298, 0.597]], "formation_enthalpy_0k_ev_per_atom": -0.334, "crystal_system": "tetragonal"}

=====

7.
{"formula": "RbGa2Hg", "functional": "GGA-PBE", "state": "optimized geometry", "cell": [[4.744, 0.000, 0.000], [0.000, 4.699, -0.888], [0.000, -0.605, 10.647]], "species": ["Ga", "Ga", "Ga", "Ga", "Hg", "Hg", "Rb", "Rb"], "frac_coords": [[0.750, 0.211, 0.496], [0.250, 0.789, 0.504], [0.250, 0.230, 0.375], [0.750, 0.770, 0.625], [0.250, 0.047, 0.094], [0.750, 0.953, 0.906], [0.250, 0.388, 0.782], [0.750, 0.612, 0.218]], "formation_enthalpy_0k_ev_per_atom": -0.149, "crystal_system": "monoclinic"}

=====

8.
{"formula": "Mn2Ni2Mo", "functional": "GGA-PBE", "state": "optimized geometry", "cell": [[6.877, 0.000, 0.000], [0.000, 6.877, 0.000], [0.000, 0.000, 2.567]], "species": ["Mn", "Mn", "Mn", "Mn", "Ni", "Ni", "Ni", "Ni", "Mo", "Mo"], "frac_coords": [[0.618, 0.118, 0.000], [0.882, 0.618, 0.000], [0.382, 0.882, 0.000], [0.118, 0.382, 0.000], [0.322, 0.178, 0.500], [0.822, 0.322, 0.500], [0.678, 0.822, 0.500], [0.178, 0.678, 0.500], [0.000, 0.000, 0.000], [0.500, 0.500, 0.000]], "formation_enthalpy_0k_ev_per_atom": 0.181, "de_polymorph_mev_per_atom": 44.4, "crystal_system": "tetragonal"}